Computed, not measured: crystalline BeFeHgAs at its relaxed geometry at the GGA-PBE level of DFT.

energy relative to the lowest polymorph listed for this composition = 0 meV per atom
SG = F-43m, No. 216

Unit cell a=4.451 b=4.451 c=4.451 alpha=60.00 beta=60.00 gamma=60.00
Sites, in units of the cell vectors:
As (0.000, 0.000, 0.000)
Fe (0.750, 0.750, 0.750)
Hg (0.500, 0.500, 0.500)
Be (0.250, 0.250, 0.250)

---

Computed, not measured: crystalline LaBeFeAs at its relaxed geometry at the GGA-PBE level of DFT.

energy relative to the lowest polymorph listed for this composition = 0 meV per atom
SG = F-43m, No. 216

Unit cell a=4.711 b=4.711 c=4.711 alpha=60.00 beta=60.00 gamma=60.00
Sites, in units of the cell vectors:
Fe (0.000, 0.000, 0.000)
Be (0.750, 0.750, 0.750)
La (0.500, 0.500, 0.500)
As (0.250, 0.250, 0.250)